No. 1
## Ag2SbTe2 (PBE-GGA)

Data for a relaxed Ag2SbTe2 crystal.

The structure in POSCAR format:
```
Ag2SbTe2
1.0
-0.8789 1.6215 -4.5640
2.5261 -3.2757 -1.6503
-6.2474 -3.0295 0.1268
Ag Sb Te
2 1 2
direct
0.2000 0.6906 0.4455
0.7000 0.0594 0.5529
0.2000 0.1763 0.1332
0.2000 0.2700 0.7168
0.7000 0.8036 0.1516
```

Properties
crystal system: monoclinic
E_form (uncorrected): 0.01 eV/atom
D(E_F): 1.5 states/eV/f.u.
offset from the most stable computed form: 6 kJ/mol of formula units



No. 2
## AgSbTe (PBE-GGA)

Data for a relaxed AgSbTe crystal.

The structure in POSCAR format:
```
AgSbTe
1.0
-7.7278 -2.9334 0.7456
-5.3885 -4.8785 4.0055
6.0508 5.5907 -1.0062
Sb Te Ag
1 1 1
direct
0.3599 0.3599 0.0000
0.6451 0.6451 0.0000
0.9950 0.9950 0.0000
```

Properties
crystal system: tetragonal
E_form (uncorrected): 0.18 eV/atom
D(E_F): 1.8 states/eV/f.u.
offset from the most stable computed form: 58 kJ/mol of formula units



No. 3
## Ag2SbTe4 (PBE-GGA)

Data for a relaxed Ag2SbTe4 crystal.

The structure in POSCAR format:
```
Ag2SbTe4
1.0
-3.7192 2.7584 3.6246
1.4512 -3.7179 4.3185
4.8218 4.0495 1.8659
Ag Sb Te
2 1 4
direct
0.5000 0.0000 0.5000
0.0000 0.5000 0.5000
0.0000 0.0000 0.0000
0.6992 0.3008 0.7759
0.3008 0.3008 0.2241
0.3008 0.6992 0.7759
0.6992 0.6992 0.2241
```

Properties
crystal system: tetragonal
E_form (uncorrected): 0.06 eV/atom
D(E_F): 6.6 states/eV/f.u.
offset from the most stable computed form: 23 kJ/mol of formula units



No. 4
## Ag8SbTe6 (PBE-GGA)

Data for a relaxed Ag8SbTe6 crystal.

The structure in POSCAR format:
```
Ag8SbTe6
1.0
8.3160 0.0000 0.0000
0.0000 8.7510 0.0000
0.0000 0.0000 11.5425
Ag Sb Te
16 2 12
direct
0.4113 0.0000 0.9308
0.5887 0.5000 0.4308
0.9007 0.7796 0.1226
0.0993 0.7204 0.6226
0.0993 0.2796 0.6226
0.9007 0.2204 0.1226
0.4436 0.7791 0.7313
0.5564 0.7209 0.2313
0.5564 0.2791 0.2313
0.4436 0.2209 0.7313
0.8559 0.7732 0.8494
0.1441 0.7268 0.3494
0.1441 0.2732 0.3494
0.8559 0.2268 0.8494
0.2423 0.0000 0.5057
0.7577 0.5000 0.0057
0.7422 0.0000 0.5258
0.2578 0.5000 0.0258
0.7341 0.0000 0.9878
0.2659 0.5000 0.4878
0.1900 0.0000 0.7461
0.8100 0.5000 0.2461
0.9709 0.0000 0.3459
0.0291 0.5000 0.8459
0.5038 0.0000 0.3571
0.4962 0.5000 0.8571
0.2573 0.8081 0.1152
0.7427 0.6919 0.6152
0.7427 0.3081 0.6152
0.2573 0.1919 0.1152
```

Properties
crystal system: orthorhombic
E_form (uncorrected): -0.01 eV/atom
D(E_F): 2.0 states/eV/f.u.



No. 5
## Ag2SbTe (PBE-GGA)

Data for a relaxed Ag2SbTe crystal.

The structure in POSCAR format:
```
Ag2SbTe
1.0
5.6123 -0.0135 -0.0248
1.6782 5.3555 0.0248
-3.0566 -3.4743 3.1757
Sb Te Ag
1 1 2
direct
0.7500 0.2500 0.5000
0.2500 0.7500 0.5000
0.9971 0.9971 0.0000
0.5029 0.5029 0.0000
```

Properties
crystal system: orthorhombic
E_form (uncorrected): 0.19 eV/atom
D(E_F): 1.7 states/eV/f.u.
offset from the most stable computed form: 63 kJ/mol of formula units



No. 6
## AgSb3Te4 (PBE-GGA)

Data for a relaxed AgSb3Te4 crystal.

The structure in POSCAR format:
```
AgSb3Te4
1.0
7.6804 0.0440 0.0000
-2.6512 7.1222 0.0000
0.0000 0.0000 8.8417
Sb Te Ag
6 8 2
direct
0.7500 0.0000 0.3732
0.2500 0.0000 0.6268
0.7500 0.5000 0.6315
0.7500 0.5000 0.1248
0.2500 0.5000 0.3685
0.2500 0.5000 0.8752
0.9967 0.2461 0.6275
0.4988 0.2421 0.8801
0.4967 0.2461 0.3725
0.9988 0.2421 0.1199
0.0012 0.7579 0.8801
0.5033 0.7539 0.6275
0.5012 0.7579 0.1199
0.0033 0.7539 0.3725
0.7500 0.0000 0.8728
0.2500 0.0000 0.1272
```

Properties
crystal system: monoclinic
E_form (uncorrected): -0.03 eV/atom
D(E_F): 4.9 states/eV/f.u.
offset from the most stable computed form: 10 kJ/mol of formula units



No. 7
## Ag2SbTe (PBE-GGA)

Data for a relaxed Ag2SbTe crystal.

The structure in POSCAR format:
```
Ag2SbTe
1.0
3.2663 0.0001 -0.0437
-0.0041 7.6090 0.4145
-0.1222 -0.4673 8.5951
Ag Sb Te
4 2 2
direct
0.7672 0.8949 0.9631
0.7899 0.3953 0.4976
0.7681 0.5126 0.9631
0.7892 0.0124 0.4976
0.2802 0.0162 0.2212
0.2808 0.3910 0.2212
0.9252 0.2038 0.7817
0.6566 0.7037 0.6773
```

Properties
crystal system: triclinic
E_form (uncorrected): 0.06 eV/atom
D(E_F): 1.4 states/eV/f.u.
offset from the most stable computed form: 11 kJ/mol of formula units



No. 8
## Ag2SbTe (PBE-GGA)

Data for a relaxed Ag2SbTe crystal.

The structure in POSCAR format:
```
Ag2SbTe
1.0
-2.0809 -2.9043 1.5123
3.8560 -4.1529 -2.6697
4.9712 -2.8286 1.4081
Sb Te Ag
1 1 2
direct
0.5000 0.5000 0.5000
0.0000 0.0000 0.5000
0.0000 0.0000 0.0000
0.5000 0.5000 0.0000
```

Properties
crystal system: monoclinic
E_form (uncorrected): 0.11 eV/atom
D(E_F): 2.0 states/eV/f.u.
offset from the most stable computed form: 33 kJ/mol of formula units



No. 9
## Ag4Sb3Te8 (PBE-GGA)

Data for a relaxed Ag4Sb3Te8 crystal.

The structure in POSCAR format:
```
Ag4Sb3Te8
1.0
-2.0679 8.2825 -0.0441
0.7061 -4.2134 -7.3275
-5.6364 -5.7436 2.6806
Ag Sb Te
4 3 8
direct
0.5000 0.0000 0.0000
0.0000 0.5000 0.0000
0.0000 0.0000 0.0000
0.0000 0.0000 0.5000
0.5000 0.5000 0.0000
0.5000 0.0000 0.5000
0.5000 0.5000 0.5000
0.6069 0.3014 0.3014
0.0000 0.7684 0.2316
0.9918 0.2255 0.2255
0.5000 0.7558 0.2442
0.5000 0.2442 0.7558
0.0082 0.7745 0.7745
0.0000 0.2316 0.7684
0.3931 0.6986 0.6986
```

Properties
crystal system: monoclinic
E_form (uncorrected): -0.02 eV/atom
D(E_F): 6.0 states/eV/f.u.



No. 10
## Ag2SbTe (PBE-GGA)

Data for a relaxed Ag2SbTe crystal.

The structure in POSCAR format:
```
Ag2SbTe
1.0
-0.8560 -2.7276 -2.7698
5.1606 -1.0688 -0.5423
-0.3195 -3.1826 3.2328
Sb Te Ag
1 1 2
direct
0.5000 0.0000 0.5000
0.0000 0.5000 0.5000
0.0000 0.0000 0.0000
0.5000 0.5000 0.0000
```

Properties
crystal system: orthorhombic
E_form (uncorrected): 0.19 eV/atom
D(E_F): 1.4 states/eV/f.u.
offset from the most stable computed form: 63 kJ/mol of formula units



No. 11
## Ag2SbTe (PBE-GGA)

Data for a relaxed Ag2SbTe crystal.

The structure in POSCAR format:
```
Ag2SbTe
1.0
5.1329 0.0000 0.0000
2.5665 4.4453 0.0000
2.5665 1.4818 4.1910
Sb Te Ag
1 1 2
direct
0.5000 0.5000 0.5000
0.2500 0.2500 0.2500
0.0000 0.0000 0.0000
0.7500 0.7500 0.7500
```

Properties
crystal system: cubic
E_form (uncorrected): 0.32 eV/atom
D(E_F): 1.9 states/eV/f.u.
offset from the most stable computed form: 113 kJ/mol of formula units



No. 12
## Ag3SbTe6 (PBE-GGA)

Data for a relaxed Ag3SbTe6 crystal.

The structure in POSCAR format:
```
Ag3SbTe6
1.0
10.7448 -2.1708 0.0000
-7.7412 7.7612 0.0000
0.0000 0.0000 10.9656
Sb Te Ag
1 6 3
direct
0.0000 0.0000 0.0000
0.0000 0.0000 0.2613
0.0000 0.0000 0.7387
0.4044 0.1576 0.0000
0.5956 0.8424 0.0000
0.1576 0.4044 0.0000
0.8424 0.5956 0.0000
0.0000 0.0000 0.5000
0.5000 0.0000 0.0000
0.0000 0.5000 0.0000
```

Properties
crystal system: orthorhombic
E_form (uncorrected): 0.40 eV/atom
D(E_F): 7.8 states/eV/f.u.